Entry w
A geometry-optimized InNi2Te structure, computed with PBE-GGA.

Values from the calculation:
DOS at the Fermi energy = 4.0 states/eV/cell

Structure (CIF):
```
data_InNi2Te
_cell_length_a 3.0764
_cell_length_b 4.0627
_cell_length_c 11.5417
_cell_angle_alpha 90.00
_cell_angle_beta 90.00
_cell_angle_gamma 90.00
_symmetry_space_group_name_H-M 'I m m 2'
_symmetry_Int_Tables_number 44
loop_
_symmetry_equiv_pos_as_xyz
'x,y,z'
'-x,-y,z'
'-x,y,z'
'x,-y,z'
'x+1/2,y+1/2,z+1/2'
'-x+1/2,-y+1/2,z+1/2'
'-x+1/2,y+1/2,z+1/2'
'x+1/2,-y+1/2,z+1/2'
loop_
_atom_site_label
_atom_site_fract_x
_atom_site_fract_y
_atom_site_fract_z
In1 0.0000 0.0000 0.0000
Ni1 0.0000 0.0000 0.5499
Ni2 0.0000 0.5000 0.8492
Te1 0.0000 0.5000 0.2405
```

Entry x
A geometry-optimized InNi2Te structure, computed with PBE-GGA.

Values from the calculation:
DOS at the Fermi energy = 11.8 states/eV/cell

Structure (CIF):
```
data_InNi2Te
_cell_length_a 3.9458
_cell_length_b 3.9458
_cell_length_c 17.8344
_cell_angle_alpha 90.00
_cell_angle_beta 90.00
_cell_angle_gamma 120.00
_symmetry_space_group_name_H-M 'R 3 m'
_symmetry_Int_Tables_number 160
_symmetry_space_group_name_Hall 'R 3 -2"'
loop_
_atom_site_label
_atom_site_fract_x
_atom_site_fract_y
_atom_site_fract_z
In1 0.0000 0.0000 0.0000
Ni1 0.0000 0.0000 0.2533
Ni2 0.0000 0.0000 0.5481
Te1 0.0000 0.0000 0.8185
```

Stability check: which of them is most stable? entry x.

Entry w
A geometry-optimized InNi2Te structure, computed with PBE-GGA.

Values from the calculation:
DOS at the Fermi energy = 4.3 states/eV/cell

Structure (CIF):
```
data_InNi2Te
_cell_length_a 3.8058
_cell_length_b 3.8058
_cell_length_c 9.5432
_cell_angle_alpha 90.00
_cell_angle_beta 90.00
_cell_angle_gamma 90.00
_symmetry_space_group_name_H-M 'I -4 m 2'
_symmetry_Int_Tables_number 119
_symmetry_space_group_name_Hall 'I -4 -2'
loop_
_atom_site_label
_atom_site_fract_x
_atom_site_fract_y
_atom_site_fract_z
In1 0.0000 0.0000 0.0000
Ni1 0.0000 0.0000 0.5000
Ni2 0.0000 0.5000 0.7500
Te1 0.0000 0.5000 0.2500
```

Entry x
A geometry-optimized InNi2Te structure, computed with PBE-GGA.

Values from the calculation:
DOS at the Fermi energy = 5.6 states/eV/cell

Structure (CIF):
```
data_InNi2Te
_cell_length_a 3.9062
_cell_length_b 3.5898
_cell_length_c 9.7812
_cell_angle_alpha 90.00
_cell_angle_beta 90.00
_cell_angle_gamma 90.00
_symmetry_space_group_name_H-M 'A m m 2'
_symmetry_Int_Tables_number 38
loop_
_symmetry_equiv_pos_as_xyz
'x,y,z'
'-x,-y,z'
'-x,y,z'
'x,-y,z'
'x,y+1/2,z+1/2'
'-x,-y+1/2,z+1/2'
'-x,y+1/2,z+1/2'
'x,-y+1/2,z+1/2'
loop_
_atom_site_label
_atom_site_fract_x
_atom_site_fract_y
_atom_site_fract_z
In1 0.0000 0.0000 0.0000
Ni1 0.0000 0.0000 0.2781
Ni2 0.5000 0.0000 0.4411
Te1 0.5000 0.0000 0.7178
```

Stability check: which of them is most stable? entry x.

Entry w
A geometry-optimized InNi2Te structure, computed with PBE-GGA.

Values from the calculation:
DOS at the Fermi energy = 10.3 states/eV/cell

Structure (CIF):
```
data_InNi2Te
_cell_length_a 3.6971
_cell_length_b 3.6971
_cell_length_c 18.7953
_cell_angle_alpha 90.00
_cell_angle_beta 90.00
_cell_angle_gamma 120.00
_symmetry_space_group_name_H-M 'R -3 m'
_symmetry_Int_Tables_number 166
_symmetry_space_group_name_Hall '-R 3 2"'
loop_
_atom_site_label
_atom_site_fract_x
_atom_site_fract_y
_atom_site_fract_z
In1 0.0000 0.0000 0.0000
Ni1 0.0000 0.0000 0.2452
Te1 0.0000 0.0000 0.5000
```

Entry x
A geometry-optimized InNi2Te structure, computed with PBE-GGA.

Values from the calculation:
DOS at the Fermi energy = 1.7 states/eV/cell

Structure (CIF):
```
data_InNi2Te
_cell_length_a 4.4673
_cell_length_b 4.4673
_cell_length_c 3.3974
_cell_angle_alpha 90.00
_cell_angle_beta 90.00
_cell_angle_gamma 90.00
_symmetry_space_group_name_H-M 'P 4/m m m'
_symmetry_Int_Tables_number 123
_symmetry_space_group_name_Hall '-P 4 2'
loop_
_atom_site_label
_atom_site_fract_x
_atom_site_fract_y
_atom_site_fract_z
In1 0.0000 0.0000 0.0000
Ni1 0.0000 0.5000 0.5000
Te1 0.5000 0.5000 0.0000
```

Stability check: which of them is most stable? entry w.